No. 1
Computed, not measured: a geometry-optimized ErCuHg structure at the PBE-GGA level of DFT.

Cell: 4.5795 4.5795 4.5795 Å, 60.00 60.00 60.00°
Fractional coordinates of all 3 atoms:
Hg 0.5000 0.5000 0.5000
Cu 0.2500 0.2500 0.2500
Er 0.0000 0.0000 0.0000

Total moment   0.0 μB/f.u.
E   -3.191 eV per atom
Space group   F-43m, No. 216
Calculated density   10.55 Mg/m³
DOS at the Fermi energy   1.0040 states/eV per atom

***

No. 2
Computed, not measured: a geometry-optimized Fe2TcPt8 structure at the PBE-GGA level of DFT.

Cell: 3.9217 6.2383 7.3153 Å, 105.95 105.55 90.00°
Fractional coordinates of all 11 atoms:
Fe 0.2234 0.6404 0.4468
Fe 0.7766 0.3596 0.5532
Pt 0.5987 0.4511 0.1975
Pt 0.3183 0.0862 0.6366
Pt 0.1399 0.1916 0.2798
Pt 0.0460 0.7299 0.0919
Pt 0.8601 0.8084 0.7202
Pt 0.6817 0.9138 0.3634
Pt 0.4013 0.5489 0.8025
Pt 0.9540 0.2701 0.9081
Tc 0.5000 0.0000 0.0000

Total moment   7.0 μB/f.u.
E   -7.031 eV per atom
Space group   C2/m, No. 12
Calculated density   17.79 Mg/m³
DOS at the Fermi energy   1.0212 states/eV per atom

***

No. 3
Computed, not measured: a geometry-optimized Ta3V structure at the PBE-GGA level of DFT.

Cell: 4.5987 4.5987 4.5987 Å, 60.00 60.00 60.00°
Fractional coordinates of all 4 atoms:
V 0.5000 0.5000 0.5000
Ta 0.0000 0.0000 0.0000
Ta 0.7500 0.7500 0.7500
Ta 0.2500 0.2500 0.2500

Total moment   0.0 μB/f.u.
Offset from the most stable computed form   10.8 meV/atom
E   -11.123 eV per atom
Space group   Fm-3m, No. 225
Calculated density   14.34 Mg/m³
DOS at the Fermi energy   1.9087 states/eV per atom